Entry P
VASP calculation (GGA-PBE) on a geometry-optimized InSiRu3 structure.

Values from the calculation:
Crystal system: cubic
Volume (Å³ per cell): 85.68

Cell lengths 4.4086, 4.4086, 4.4086 Å; angles 90.00, 90.00, 90.00 degrees
Closest atoms and distances in Å follow each position.
Sites, in units of the cell vectors:
Ru 0.0000 0.5000 0.0000  2 Si 2.20
Ru 0.0000 0.0000 0.5000  2 Si 2.20
Ru 0.5000 0.0000 0.0000  2 Si 2.20
Si 0.0000 0.0000 0.0000  6 Ru 2.20
In 0.5000 0.5000 0.5000  12 Ru 3.12

---

Entry Q
VASP calculation (GGA-PBE) on a geometry-optimized InSiRu3 structure.

Values from the calculation:
Crystal system: cubic
Volume (Å³ per cell): 114.05

Cell lengths 4.8495, 4.8495, 4.8495 Å; angles 90.00, 90.00, 90.00 degrees
Closest atoms and distances in Å follow each position.
Sites, in units of the cell vectors:
Ru 0.0000 0.5000 0.0000  2 In 2.42
Ru 0.0000 0.0000 0.5000  2 In 2.42
Ru 0.5000 0.0000 0.0000  2 In 2.42
Si 0.5000 0.5000 0.5000  12 Ru 3.43
In 0.0000 0.0000 0.0000  6 Ru 2.42

---

Q: Which of them is the least stable? A: entry Q.

---

Entry P
VASP calculation (GGA-PBE) on a geometry-optimized Sm3In2Ru structure.

Values from the calculation:
Crystal system: orthorhombic
Volume (Å³ per cell): 650.57

Cell lengths 4.6438, 10.8019, 12.9694 Å; angles 90.00, 90.00, 90.00 degrees
Closest atoms and distances in Å follow each position.
Sites, in units of the cell vectors:
Sm 0.2500 0.3981 0.0562  1 Ru 2.80
Sm 0.7500 0.6019 0.9438  1 Ru 2.80
Sm 0.7500 0.8981 0.4438  1 Ru 2.80
Sm 0.2500 0.1019 0.5562  1 Ru 2.80
Sm 0.2500 0.7337 0.2650  2 Ru 3.01, 5 In 3.26-3.29
Sm 0.7500 0.2663 0.7350  2 Ru 3.01, 5 In 3.26-3.29
Sm 0.7500 0.2337 0.2350  2 Ru 3.01, 5 In 3.26-3.29
Sm 0.2500 0.7663 0.7650  2 Ru 3.01, 5 In 3.26-3.29
Sm 0.2500 0.4535 0.3889  3 Ru 3.03-3.12, 3 In 3.22-3.32
Sm 0.7500 0.5465 0.6111  3 Ru 3.03-3.12, 3 In 3.22-3.32
Sm 0.7500 0.9535 0.1111  3 Ru 3.03-3.12, 3 In 3.22-3.32
Sm 0.2500 0.0465 0.8889  3 Ru 3.03-3.12, 3 In 3.22-3.32
In 0.2500 0.7196 0.5164  2 Ru 2.93, 6 Sm 3.16-3.26
In 0.7500 0.2804 0.4836  2 Ru 2.93, 6 Sm 3.16-3.26
In 0.7500 0.2196 0.9836  2 Ru 2.93, 6 Sm 3.16-3.26
In 0.2500 0.7804 0.0164  2 Ru 2.93, 6 Sm 3.16-3.26
In 0.2500 0.0354 0.3001  1 Ru 2.77
In 0.7500 0.9646 0.6999  1 Ru 2.77
In 0.7500 0.5354 0.1999  1 Ru 2.77
In 0.2500 0.4646 0.8001  1 Ru 2.77
Ru 0.2500 0.1461 0.1070  3 In 2.77-2.93, 4 Sm 2.80-3.03
Ru 0.7500 0.8539 0.8930  3 In 2.77-2.93, 4 Sm 2.80-3.03
Ru 0.7500 0.6461 0.3930  3 In 2.77-2.93, 4 Sm 2.80-3.03
Ru 0.2500 0.3539 0.6070  3 In 2.77-2.93, 4 Sm 2.80-3.03

---

Entry Q
VASP calculation (GGA-PBE) on a geometry-optimized Sm3In2Ru structure.

Values from the calculation:
Crystal system: monoclinic
Volume (Å³ per cell): 340.85

Cell lengths 7.9411, 6.6688, 8.1144 Å; angles 84.56, 80.84, 53.46 degrees
Closest atoms and distances in Å follow each position.
Sites, in units of the cell vectors:
Sm 0.4566 0.6377 0.7723  2 Ru 2.80-2.84
Sm 0.3300 0.0000 0.1662  2 Ru 2.93, 2 In 3.13-3.21
Sm 0.5434 0.3623 0.2277  2 Ru 2.80-2.84
Sm 0.9057 0.6377 0.2277  2 Ru 2.80-2.84
Sm 0.0943 0.3623 0.7723  2 Ru 2.80-2.84
Sm 0.6700 0.0000 0.8338  2 Ru 2.93, 2 In 3.13-3.21
In 0.0000 0.0000 0.0000  2 Ru 3.00, 6 Sm 3.13-3.27
In 0.5000 0.0000 0.5000  6 Sm 3.21-3.25
In 0.1338 0.7325 0.5000  1 In 2.87
In 0.8662 0.2675 0.5000  1 In 2.87
Ru 0.7196 0.5607 0.0000  6 Sm 2.80-2.93, 1 In 3.00
Ru 0.2804 0.4393 0.0000  6 Sm 2.80-2.93, 1 In 3.00

---

Q: Which of them is the least stable? A: entry Q.